Entry 1:
The following is a DFT calculation (GGA-PBE) of a geometry-optimized ThPd6Au6 structure.

DFT total energy   -4.7784 eV/atom
ΔH_f (0 K)   -3.88 eV/f.u.
DOS(E_F)   6.07 states/eV per cell
Space group   Immm, No. 71

extended XYZ file:
```
13
Lattice="-2.746 4.613 4.668 2.746 -4.613 4.668 2.746 4.613 -4.668" Properties=species:S:1:pos:R:3 pbc="T T T"
Th 0.000 0.000 0.000
Pd 1.373 2.306 -2.334
Pd 1.373 -2.306 2.334
Pd 2.746 2.094 0.000
Pd -1.373 2.306 2.334
Pd 1.373 2.306 2.334
Pd 0.000 2.519 4.668
Au 2.746 0.000 1.834
Au 0.000 3.111 0.000
Au 0.000 0.000 3.213
Au 0.000 0.000 6.124
Au 0.000 6.115 0.000
Au 0.000 4.613 2.835
```

---

Entry 2:
The following is a DFT calculation (GGA-PBE) of a geometry-optimized Th2PdAu structure.

DFT total energy   -6.4297 eV/atom
ΔH_f (0 K)   -2.41 eV/f.u.
DOS(E_F)   3.41 states/eV per cell
Space group   P4/mmm, No. 123

extended XYZ file:
```
4
Lattice="3.653 0.000 0.000 0.000 3.653 0.000 0.000 0.000 7.435" Properties=species:S:1:pos:R:3 pbc="T T T"
Th 0.000 0.000 1.788
Th 0.000 0.000 5.646
Pd 1.827 1.827 0.000
Au 1.827 1.827 3.717
```

---

Entry 3:
The following is a DFT calculation (GGA-PBE) of a geometry-optimized ThPdAu3 structure.

DFT total energy   -5.0468 eV/atom
ΔH_f (0 K)   -2.79 eV/f.u.
DOS(E_F)   11.27 states/eV per cell
Space group   Pnma, No. 62

extended XYZ file:
```
20
Lattice="9.509 0.000 0.000 0.000 4.718 0.000 0.000 0.000 9.359" Properties=species:S:1:pos:R:3 pbc="T T T"
Th 2.311 1.180 0.110
Th 2.444 3.539 4.790
Th 7.065 1.180 4.569
Th 7.198 3.539 9.249
Pd 1.105 3.539 1.458
Pd 3.650 1.180 6.138
Pd 5.859 3.539 3.221
Pd 8.404 1.180 7.901
Au 0.802 3.539 8.055
Au 0.882 1.180 6.116
Au 1.077 1.180 3.280
Au 3.677 3.539 7.960
Au 3.872 3.539 1.436
Au 3.952 1.180 3.375
Au 5.557 3.539 5.983
Au 5.637 1.180 7.923
Au 5.832 1.180 1.399
Au 8.432 3.539 6.078
Au 8.627 3.539 3.243
Au 8.707 1.180 1.304
```

---

Entry 4:
The following is a DFT calculation (GGA-PBE) of a geometry-optimized ThPd7Au3 structure.

DFT total energy   -5.0446 eV/atom
ΔH_f (0 K)   -1.89 eV/f.u.
DOS(E_F)   3.38 states/eV per cell
Space group   C2/m, No. 12

extended XYZ file:
```
11
Lattice="4.522 -4.800 0.000 4.522 4.800 0.000 -2.173 0.000 4.823" Properties=species:S:1:pos:R:3 pbc="T T T"
Th 0.000 0.000 0.000
Pd -1.086 0.000 2.411
Pd 1.152 2.292 3.963
Pd 1.728 0.000 2.138
Pd 5.720 2.292 0.860
Pd 1.152 -2.292 3.963
Pd 5.144 0.000 2.685
Pd 5.720 -2.292 0.860
Au 3.436 2.125 2.411
Au 4.522 0.000 0.000
Au 3.436 -2.125 2.411
```

---

Entry 5:
The following is a DFT calculation (GGA-PBE) of a geometry-optimized Th4Pd3Au structure.

DFT total energy   -6.7775 eV/atom
ΔH_f (0 K)   -5.68 eV/f.u.
DOS(E_F)   6.96 states/eV per cell
Space group   Pmm2, No. 25

extended XYZ file:
```
8
Lattice="3.917 0.000 0.000 0.000 4.462 0.000 0.000 0.000 11.528" Properties=species:S:1:pos:R:3 pbc="T T T"
Th 0.000 0.000 0.000
Th 0.000 2.231 3.177
Th 1.958 0.000 5.792
Th 1.958 2.231 9.164
Pd 0.000 2.231 6.283
Pd 1.958 0.000 2.731
Pd 1.958 2.231 0.789
Au 0.000 0.000 8.265
```

---

Entry 6:
The following is a DFT calculation (GGA-PBE) of a geometry-optimized Th3Pd2Au structure.

DFT total energy   -6.5549 eV/atom
ΔH_f (0 K)   -3.41 eV/f.u.
DOS(E_F)   14.24 states/eV per cell
Space group   R-3c, No. 167

extended XYZ file:
```
12
Lattice="3.779 2.182 6.578 -3.779 2.182 6.578 0.000 -4.364 6.578" Properties=species:S:1:pos:R:3 pbc="T T T"
Th -2.639 -0.206 8.223
Th -1.141 -2.389 11.512
Th 1.498 -2.182 8.223
Th -1.498 2.182 11.512
Th 1.141 2.389 8.223
Th 2.639 0.206 11.512
Pd 0.000 0.000 2.975
Pd 0.000 0.000 6.892
Pd 0.000 0.000 12.842
Pd 0.000 0.000 16.759
Au 0.000 0.000 0.000
Au 0.000 0.000 9.867
```

---

Entry 7:
The following is a DFT calculation (GGA-PBE) of a geometry-optimized ThPd2Au3 structure.

DFT total energy   -5.1353 eV/atom
ΔH_f (0 K)   -3.17 eV/f.u.
DOS(E_F)   4.92 states/eV per cell
Space group   C2/c, No. 15

extended XYZ file:
```
12
Lattice="3.335 -4.228 0.000 3.335 4.228 0.000 -1.028 0.000 8.428" Properties=species:S:1:pos:R:3 pbc="T T T"
Th 2.564 3.011 6.321
Th 3.078 -3.011 2.107
Pd 1.993 2.705 3.120
Pd 4.163 2.705 1.094
Pd 1.479 -2.705 7.334
Pd 3.649 -2.705 5.308
Au 0.782 0.765 8.147
Au 1.296 -0.765 3.933
Au 3.078 0.283 2.107
Au 2.564 -0.283 6.321
Au 4.345 0.765 4.495
Au 4.859 -0.765 0.281
```

---

Entry 8:
The following is a DFT calculation (GGA-PBE) of a geometry-optimized Th2Pd7Au structure.

DFT total energy   -5.6915 eV/atom
ΔH_f (0 K)   -2.45 eV/f.u.
DOS(E_F)   4.43 states/eV per cell
Space group   Cmmm, No. 65

extended XYZ file:
```
10
Lattice="3.692 -7.562 0.000 3.692 7.562 0.000 0.000 0.000 3.987" Properties=species:S:1:pos:R:3 pbc="T T T"
Th 3.692 4.736 0.000
Th 3.692 -4.736 0.000
Pd 0.000 0.000 0.000
Pd 2.304 1.475 0.000
Pd 3.692 2.804 1.993
Pd 2.304 -1.475 0.000
Pd 5.079 1.475 0.000
Pd 3.692 -2.804 1.993
Pd 5.079 -1.475 0.000
Au 3.692 0.000 1.993
```